# 1
VASP calculation (PBE-GGA) on a relaxed Th3Cu2Hg4 crystal.

**Total magnetization**: 0.0 Bohr magnetons per cell
**Volume**: 425 Å³ per cell
**E**: -3.73 eV per atom
**Formation energy**: -0.216 eV/atom

abc: 10.925 4.874 9.104
angles: 90.00 118.69 90.00
Space group C2/m (No. 12)
One atom of each set of equivalent atoms:
1 Th 0.000 0.000 0.000 [2 per cell]
2 Th 0.166 0.500 0.659 [4 per cell]
3 Cu 0.105 0.500 0.277 [4 per cell]
4 Hg 0.054 0.000 0.379 [4 per cell]
5 Hg 0.218 0.500 0.065 [4 per cell]

***

# 2
VASP calculation (PBE-GGA) on a relaxed TmThCuHg crystal.

**Total magnetization**: 2.2 Bohr magnetons per cell
**Volume**: 392 Å³ per cell
**E**: -4.25 eV per atom
**Formation energy**: -0.175 eV/atom

abc: 7.320 7.320 7.320
angles: 90.00 90.00 90.00
Space group F-43m (No. 216)
One atom of each set of equivalent atoms:
1 Tm 0.000 0.000 0.000 [4 per cell]
2 Th 0.000 0.000 0.500 [4 per cell]
3 Cu 0.250 0.250 0.750 [4 per cell]
4 Hg 0.250 0.250 0.250 [4 per cell]

***

# 3
VASP calculation (PBE-GGA) on a relaxed ThZnCuHg crystal.

**Total magnetization**: 0.0 Bohr magnetons per cell
**Volume**: 330 Å³ per cell
**E**: -3.43 eV per atom
**Formation energy**: -0.157 eV/atom

abc: 6.909 6.909 6.909
angles: 90.00 90.00 90.00
Space group F-43m (No. 216)
One atom of each set of equivalent atoms:
1 Th 0.000 0.000 0.000 [4 per cell]
2 Zn 0.250 0.250 0.750 [4 per cell]
3 Cu 0.250 0.250 0.250 [4 per cell]
4 Hg 0.000 0.000 0.500 [4 per cell]

***

# 4
VASP calculation (PBE-GGA) on a relaxed ThZrCuHg crystal.

**Total magnetization**: 0.0 Bohr magnetons per cell
**Volume**: 371 Å³ per cell
**E**: -5.09 eV per atom
**Formation energy**: 0.003 eV/atom

abc: 7.182 7.182 7.182
angles: 90.00 90.00 90.00
Space group F-43m (No. 216)
One atom of each set of equivalent atoms:
1 Th 0.000 0.000 0.000 [4 per cell]
2 Zr 0.000 0.000 0.500 [4 per cell]
3 Cu 0.250 0.250 0.750 [4 per cell]
4 Hg 0.250 0.250 0.250 [4 per cell]

***

# 5
VASP calculation (PBE-GGA) on a relaxed Ti12CuHg3 crystal.

**Total magnetization**: 0.0 Bohr magnetons per cell
**Volume**: 276 Å³ per cell
**E**: -6.25 eV per atom
**Formation energy**: -0.019 eV/atom

abc: 4.114 4.114 16.299
angles: 90.00 90.00 90.00
Space group P4/mmm (No. 123)
One atom of each set of equivalent atoms:
1 Ti 0.000 0.000 0.000 [1 per cell]
2 Ti 0.000 0.000 0.244 [2 per cell]
3 Ti 0.000 0.000 0.500 [1 per cell]
4 Ti 0.000 0.500 0.115 [4 per cell]
5 Ti 0.000 0.500 0.372 [4 per cell]
6 Cu 0.500 0.500 0.000 [1 per cell]
7 Hg 0.500 0.500 0.244 [2 per cell]
8 Hg 0.500 0.500 0.500 [1 per cell]

***

# 6
VASP calculation (PBE-GGA) on a relaxed TiCu3Hg crystal.

**Relative energy among the computed polymorphs**: 0.0131 eV/atom
**Total magnetization**: 0.0 Bohr magnetons per cell
**Volume**: 105 Å³ per cell
**E**: -2.99 eV per atom
**Formation energy**: 1.111 eV/atom

abc: 4.723 4.723 4.723
angles: 90.00 90.00 90.00
Space group Pm-3m (No. 221)
One atom of each set of equivalent atoms:
1 Ti 0.000 0.000 0.000 [1 per cell]
2 Cu 0.000 0.500 0.500 [3 per cell]
3 Hg 0.500 0.500 0.500 [1 per cell]

***

# 7
VASP calculation (PBE-GGA) on a relaxed Ti2CuHg crystal.

**Total magnetization**: 1.0 Bohr magnetons per cell
**Volume**: 66 Å³ per cell
**E**: -5.05 eV per atom
**Formation energy**: -0.004 eV/atom

abc: 4.037 4.037 4.077
angles: 90.00 90.00 90.00
Space group P4/mmm (No. 123)
One atom of each set of equivalent atoms:
1 Ti 0.000 0.500 0.000 [2 per cell]
2 Cu 0.000 0.000 0.500 [1 per cell]
3 Hg 0.500 0.500 0.500 [1 per cell]

***

# 8
VASP calculation (PBE-GGA) on a relaxed Ti2CuHg crystal.

**Total magnetization**: 0.0 Bohr magnetons per cell
**Volume**: 231 Å³ per cell
**E**: -4.71 eV per atom
**Formation energy**: 0.334 eV/atom

abc: 3.8459 3.8459 18.0684
angles: 90.00 90.00 120.00
Space group R3m (No. 160, hexagonal axes)
One atom of each set of equivalent atoms:
1 Ti 0.0000 0.0000 0.0000 [3 per cell]
2 Ti 0.0000 0.0000 0.2125 [3 per cell]
3 Cu 0.0000 0.0000 0.6012 [3 per cell]
4 Hg 0.0000 0.0000 0.4376 [3 per cell]

***

# 9
VASP calculation (PBE-GGA) on a relaxed Ti2CuHg crystal.

**Total magnetization**: 2.0 Bohr magnetons per cell
**Volume**: 68 Å³ per cell
**E**: -5.07 eV per atom
**Formation energy**: -0.020 eV/atom

abc: 3.102 3.102 7.038
angles: 90.00 90.00 90.00
Space group P4/mmm (No. 123)
One atom of each set of equivalent atoms:
1 Ti 0.000 0.000 0.217 [2 per cell]
2 Cu 0.500 0.500 0.000 [1 per cell]
3 Hg 0.500 0.500 0.500 [1 per cell]

***

# 10
VASP calculation (PBE-GGA) on a relaxed Ti2CuHg crystal.

**Total magnetization**: 0.0 Bohr magnetons per cell
**Volume**: 283 Å³ per cell
**E**: -4.72 eV per atom
**Formation energy**: 0.323 eV/atom

abc: 7.422 7.422 5.130
angles: 90.00 90.00 90.00
Space group I-42d (No. 122)
One atom of each set of equivalent atoms:
1 Ti 0.223 0.250 0.125 [8 per cell]
2 Cu 0.000 0.000 0.000 [4 per cell]
3 Hg 0.000 0.000 0.500 [4 per cell]

***

# 11
VASP calculation (PBE-GGA) on a relaxed Ti2CuHg crystal.

**Total magnetization**: 3.3 Bohr magnetons per cell
**Volume**: 134 Å³ per cell
**E**: -5.05 eV per atom
**Formation energy**: -0.006 eV/atom

abc: 4.073 4.073 8.077
angles: 90.00 90.00 90.00
Space group I4/mmm (No. 139)
One atom of each set of equivalent atoms:
1 Ti 0.000 0.500 0.250 [4 per cell]
2 Cu 0.000 0.000 0.000 [2 per cell]
3 Hg 0.000 0.000 0.500 [2 per cell]

***

# 12
VASP calculation (PBE-GGA) on a relaxed TiCu3Hg crystal.

**Relative energy among the computed polymorphs**: 0.0000 eV/atom
**Total magnetization**: 0.8 Bohr magnetons per cell
**Volume**: 105 Å³ per cell
**E**: -3.00 eV per atom
**Formation energy**: 1.098 eV/atom

abc: 4.721 4.721 4.721
angles: 90.00 90.00 90.00
Space group Pm-3m (No. 221)
One atom of each set of equivalent atoms:
1 Ti 0.000 0.000 0.000 [1 per cell]
2 Cu 0.000 0.000 0.500 [3 per cell]
3 Hg 0.500 0.500 0.500 [1 per cell]

***

# 13
VASP calculation (PBE-GGA) on a relaxed Ti4Cu2Hg crystal.

**Total magnetization**: 3.1 Bohr magnetons per cell
**Volume**: 305 Å³ per cell
**E**: -4.78 eV per atom
**Formation energy**: 0.947 eV/atom

abc: 4.939 4.939 12.486
angles: 90.00 90.00 90.00
Space group I4/mmm (No. 139)
One atom of each set of equivalent atoms:
1 Ti 0.000 0.000 0.212 [4 per cell]
2 Ti 0.000 0.500 0.000 [4 per cell]
3 Cu 0.000 0.000 0.405 [4 per cell]
4 Hg 0.000 0.000 0.000 [2 per cell]

***

# 14
VASP calculation (PBE-GGA) on a relaxed TmTiCuHg crystal.

**Total magnetization**: 5.6 Bohr magnetons per cell
**Volume**: 318 Å³ per cell
**E**: -4.28 eV per atom
**Formation energy**: -0.084 eV/atom

abc: 6.827 6.827 6.827
angles: 90.00 90.00 90.00
Space group F-43m (No. 216)
One atom of each set of equivalent atoms:
1 Tm 0.000 0.000 0.000 [4 per cell]
2 Ti 0.000 0.000 0.500 [4 per cell]
3 Cu 0.250 0.250 0.750 [4 per cell]
4 Hg 0.250 0.250 0.250 [4 per cell]

***

# 15
VASP calculation (PBE-GGA) on a relaxed TiVCu2Hg crystal.

**Total magnetization**: 0.5 Bohr magnetons per cell
**Volume**: 94 Å³ per cell
**E**: -4.21 eV per atom
**Formation energy**: 0.891 eV/atom

abc: 4.659 4.659 4.323
angles: 90.00 90.00 90.00
Space group P4/mmm (No. 123)
One atom of each set of equivalent atoms:
1 Ti 0.000 0.000 0.000 [1 per cell]
2 V 0.000 0.000 0.500 [1 per cell]
3 Cu 0.000 0.500 0.500 [2 per cell]
4 Hg 0.500 0.500 0.000 [1 per cell]

***

# 16
VASP calculation (PBE-GGA) on a relaxed Y2TiCuHg crystal.

**Total magnetization**: 3.4 Bohr magnetons per cell
**Volume**: 151 Å³ per cell
**E**: -4.35 eV per atom
**Formation energy**: 0.690 eV/atom

abc: 5.639 5.639 4.742
angles: 90.00 90.00 90.00
Space group P4/mmm (No. 123)
One atom of each set of equivalent atoms:
1 Y 0.000 0.500 0.000 [2 per cell]
2 Ti 0.000 0.000 0.500 [1 per cell]
3 Cu 0.500 0.500 0.500 [1 per cell]
4 Hg 0.500 0.500 0.000 [1 per cell]

***

# 17
VASP calculation (PBE-GGA) on a relaxed Tl2CuHg crystal.

**Relative energy among the computed polymorphs**: 0.1042 eV/atom
**Total magnetization**: 0.0 Bohr magnetons per cell
**Volume**: 100 Å³ per cell
**E**: -2.03 eV per atom
**Formation energy**: 0.251 eV/atom

abc: 4.934 4.934 4.094
angles: 90.00 90.00 90.00
Space group P4/mmm (No. 123)
One atom of each set of equivalent atoms:
1 Tl 0.000 0.500 0.000 [2 per cell]
2 Cu 0.000 0.000 0.500 [1 per cell]
3 Hg 0.500 0.500 0.500 [1 per cell]

***

# 18
VASP calculation (PBE-GGA) on a relaxed TlCu2Hg2 crystal.

**Relative energy among the computed polymorphs**: 0.0806 eV/atom
**Total magnetization**: 0.0 Bohr magnetons per cell
**Volume**: 217 Å³ per cell
**E**: -1.99 eV per atom
**Formation energy**: 0.240 eV/atom

abc: 4.267 4.267 11.937
angles: 90.00 90.00 90.00
Space group I4/mmm (No. 139)
One atom of each set of equivalent atoms:
1 Tl 0.000 0.000 0.000 [2 per cell]
2 Cu 0.000 0.000 0.400 [4 per cell]
3 Hg 0.000 0.500 0.250 [4 per cell]

***

# 19
VASP calculation (PBE-GGA) on a relaxed Tl2CuHg crystal.

**Relative energy among the computed polymorphs**: 0.1123 eV/atom
**Total magnetization**: 0.0 Bohr magnetons per cell
**Volume**: 403 Å³ per cell
**E**: -2.02 eV per atom
**Formation energy**: 0.259 eV/atom

abc: 7.388 7.388 7.388
angles: 90.00 90.00 90.00
Space group Fm-3m (No. 225)
One atom of each set of equivalent atoms:
1 Tl 0.250 0.250 0.250 [8 per cell]
2 Cu 0.000 0.000 0.000 [4 per cell]
3 Hg 0.000 0.000 0.500 [4 per cell]

***

# 20
VASP calculation (PBE-GGA) on a relaxed TlCuHg3 crystal.

**Total magnetization**: 0.0 Bohr magnetons per cell
**Volume**: 139 Å³ per cell
**E**: -1.38 eV per atom
**Formation energy**: 0.094 eV/atom

abc: 5.179 5.179 5.179
angles: 90.00 90.00 90.00
Space group Pm-3m (No. 221)
One atom of each set of equivalent atoms:
1 Tl 0.000 0.000 0.000 [1 per cell]
2 Cu 0.500 0.500 0.500 [1 per cell]
3 Hg 0.000 0.500 0.500 [3 per cell]